# ThGa2Cu3 | Alexandria via LeMat-Bulk | PBE-GGA | optimized geometry
# Formation energy from the elements in eV/atom: -0.293
# Total DFT energy (no corrections) in eV/atom: -4.587
data_ThGa2Cu3
_chemical_formula_sum 'Th4 Ga8 Cu12'
_symmetry_space_group_name_H-M 'C 1 2/m 1'
_symmetry_Int_Tables_number 12
_cell_length_a 15.727
_cell_length_b 4.292
_cell_length_c 6.233
_cell_angle_alpha 90.00
_cell_angle_beta 104.82
_cell_angle_gamma 90.00
loop_
_symmetry_equiv_pos_as_xyz
'x,y,z'
'-x,-y,-z'
'-x,y,-z'
'x,-y,z'
'x+1/2,y+1/2,z'
'-x+1/2,-y+1/2,-z'
'-x+1/2,y+1/2,-z'
'x+1/2,-y+1/2,z'
loop_
_atom_site_label
_atom_site_type_symbol
_atom_site_fract_x
_atom_site_fract_y
_atom_site_fract_z
Th1 Th 0.120 0.000 0.153
Ga1 Ga 0.017 0.500 0.763
Ga2 Ga 0.231 0.000 0.682
Cu1 Cu 0.071 0.000 0.645
Cu2 Cu 0.140 0.500 0.506
Cu3 Cu 0.195 0.500 0.910